1.
Computed, not measured: an optimized crystal structure of AcGa5Rh at the PBE level of DFT.

Spin magnetization, μB per cell: 0.00
Electronic total energy, eV/atom: -4.284

Geometry as extended XYZ:
```
7
Lattice="4.510 0.000 0.000 0.000 4.510 0.000 0.000 0.000 7.254" Properties=species:S:1:pos:R:3 pbc="T T T"
Ac 0.000 0.000 0.000
Ga 0.000 2.255 2.301
Ga 0.000 2.255 4.953
Ga 2.255 0.000 2.301
Ga 2.255 0.000 4.953
Ga 2.255 2.255 0.000
Rh 0.000 0.000 3.627
```

=====

2.
Computed, not measured: an optimized crystal structure of LiAsIr2 at the PBE level of DFT.

Spin magnetization, μB per cell: 0.00
Electronic total energy, eV/atom: -5.918

Geometry as extended XYZ:
```
8
Lattice="-3.656 3.656 2.524 3.656 -3.656 2.524 3.656 3.656 -2.524" Properties=species:S:1:pos:R:3 pbc="T T T"
Li 0.000 0.000 0.000
Li 0.000 3.656 1.262
As 3.656 0.000 1.262
As 0.000 0.000 2.524
Ir 1.828 -1.338 1.893
Ir 2.318 1.828 0.631
Ir 1.828 4.994 -0.631
Ir 1.338 1.828 3.155
```

=====

3.
Computed, not measured: an optimized crystal structure of Re2Pt at the PBE level of DFT.

Spin magnetization, μB per cell: 0.00
Electronic total energy, eV/atom: -9.961

Geometry as extended XYZ:
```
12
Lattice="5.166 0.000 0.000 -2.583 4.474 0.000 0.000 0.000 8.374" Properties=species:S:1:pos:R:3 pbc="T T T"
Re 0.000 0.000 0.000
Re 0.000 0.000 4.187
Re 0.000 1.550 2.094
Re -1.241 3.699 2.094
Re 1.342 0.775 6.281
Re 1.241 3.699 2.094
Re 3.824 0.775 6.281
Re 2.583 2.924 6.281
Pt 0.000 2.983 4.871
Pt 0.000 2.983 7.690
Pt 2.583 1.491 0.684
Pt 2.583 1.491 3.503
```

=====

4.
Computed, not measured: an optimized crystal structure of Th2Ge3Ir4Pd at the PBE level of DFT.

Spin magnetization, μB per cell: 0.00
Electronic total energy, eV/atom: -7.673

Geometry as extended XYZ:
```
10
Lattice="4.153 0.000 0.000 0.000 4.153 0.000 0.000 0.000 10.934" Properties=species:S:1:pos:R:3 pbc="T T T"
Th 0.000 2.076 2.683
Th 2.076 0.000 8.250
Ge 0.000 0.000 0.000
Ge 0.000 2.076 6.831
Ge 2.076 0.000 4.103
Ir 0.000 0.000 5.467
Ir 0.000 2.076 9.255
Ir 2.076 0.000 1.678
Ir 2.076 2.076 5.467
Pd 2.076 2.076 0.000
```

=====

5.
Computed, not measured: an optimized crystal structure of MgGa2Pb at the PBE level of DFT.

Spin magnetization, μB per cell: 0.00
Electronic total energy, eV/atom: -2.835

Geometry as extended XYZ:
```
4
Lattice="3.478 0.000 0.000 0.000 3.478 0.000 0.000 0.000 7.605" Properties=species:S:1:pos:R:3 pbc="T T T"
Mg 0.000 0.000 0.000
Ga 1.739 1.739 1.636
Ga 1.739 1.739 5.969
Pb 0.000 0.000 3.802
```

=====

6.
Computed, not measured: an optimized crystal structure of Ca6Pb2SeN at the PBE level of DFT.

Spin magnetization, μB per cell: 0.00
ΔE_f (raw), eV/atom: -0.9250

Geometry as extended XYZ:
```
10
Lattice="0.000 5.209 5.209 5.209 0.000 5.209 5.209 5.209 0.000" Properties=species:S:1:pos:R:3 pbc="T T T"
Ca 5.209 5.209 2.405
Ca 5.209 2.405 5.209
Ca 8.013 5.209 5.209
Ca 2.405 5.209 5.209
Ca 5.209 8.013 5.209
Ca 5.209 5.209 8.013
Pb 2.605 2.605 2.605
Pb 7.814 7.814 7.814
Se 5.209 5.209 5.209
N 0.000 0.000 0.000
```

=====

7.
Computed, not measured: an optimized crystal structure of Tb3Al3Ag2 at the PBE level of DFT.

Spin magnetization, μB per cell: 0.00
Electronic total energy, eV/atom: -4.249

Geometry as extended XYZ:
```
16
Lattice="2.266 -5.378 0.000 2.266 5.378 0.000 0.000 0.000 14.955" Properties=species:S:1:pos:R:3 pbc="T T T"
Tb 2.266 4.423 9.128
Tb 2.266 4.423 13.305
Tb 2.266 1.473 11.216
Tb 2.266 -1.473 3.739
Tb 2.266 -4.423 1.650
Tb 2.266 -4.423 5.827
Al 2.266 1.652 3.739
Al 2.266 1.195 8.053
Al 2.266 1.195 14.380
Al 2.266 -1.195 0.575
Al 2.266 -1.195 6.902
Al 2.266 -1.652 11.216
Ag 2.266 3.167 1.479
Ag 2.266 3.167 5.999
Ag 2.266 -3.167 8.956
Ag 2.266 -3.167 13.476
```

=====

8.
Computed, not measured: an optimized crystal structure of CaZn2InAu4 at the PBE level of DFT.

Spin magnetization, μB per cell: 0.00
Electronic total energy, eV/atom: -2.906

Geometry as extended XYZ:
```
8
Lattice="2.267 1.309 9.161 -2.267 1.309 9.161 0.000 -2.617 9.161" Properties=species:S:1:pos:R:3 pbc="T T T"
Ca 0.000 0.000 0.000
Zn 0.000 0.000 7.013
Zn 0.000 0.000 20.469
In 0.000 0.000 13.741
Au 0.000 0.000 3.200
Au 0.000 0.000 10.844
Au 0.000 0.000 16.638
Au 0.000 0.000 24.281
```